GGA-PBE Ir2PtSe, relaxed; uncorrected energy = -6.622 eV per atom; space group = Pmm2
1.0
3.579 0.000 0.000
0.000 2.728 -0.005
0.000 0.013 6.853
Se Pt Ir
1 1 2
direct
0.500 0.750 0.758
0.000 0.750 0.470
0.500 0.250 0.236
0.000 0.750 0.036